Ho4MgIr: optimized geometry, PBE.

The space group is I4_1md (No. 109) and the conventional cell measures 10.221, 10.221 and 7.463 Å, with angles of 90.00, 90.00 and 90.00 degrees. The distinct sites, in fractional coordinates, are Ho at (0.000, 0.182, 0.000), Ho at (0.000, 0.245, 0.465), Mg at (0.000, 0.000, 0.668) and Ir at (0.000, 0.000, 0.280).

As for the energy above the lowest structure with this stoichiometry: 398 meV per atom. The calculation puts the energy of formation at -0.04 eV/atom.

KBi2Pb: optimized geometry, PBE.

The space group is P4/mmm (No. 123) and the conventional cell measures 4.465, 4.465 and 7.422 Å, with angles of 90.00, 90.00 and 90.00 degrees. The distinct sites, in fractional coordinates, are K at (0.000, 0.000, 0.000), Bi at (0.500, 0.500, 0.299) and Pb at (0.000, 0.000, 0.500).

The calculation puts the energy of formation at -0.15 eV/atom.

HfZrPb: optimized geometry, PBE.

The space group is C2/m (No. 12) and the conventional cell measures 17.255, 3.201 and 10.573 Å, with angles of 90.00, 92.92 and 90.00 degrees. The distinct sites, in fractional coordinates, are Hf at (0.034, 0.000, 0.358), Hf at (0.061, 0.500, 0.845), Zr at (0.213, 0.000, 0.354), Zr at (0.234, 0.000, 0.877), Pb at (0.102, 0.000, 0.097) and Pb at (0.134, 0.000, 0.609).

As for the energy above the lowest structure with this stoichiometry: 289 meV per atom. The calculation puts the energy of formation at 0.17 eV/atom.

TcTeAu3: optimized geometry, PBE.

The space group is Pm-3m (No. 221) and the conventional cell measures 5.019, 5.019 and 5.019 Å, with angles of 90.00, 90.00 and 90.00 degrees. The distinct sites, in fractional coordinates, are Tc at (0.000, 0.000, 0.000), Te at (0.500, 0.500, 0.500) and Au at (0.000, 0.000, 0.500).

For the formation energy from raw total energies, the calculation gives 1.165 eV/atom. As for the energy above the lowest structure with this stoichiometry: 0 meV per atom.

TbZr5Sc12: optimized geometry, PBE.

The space group is C2/m (No. 12) and the conventional cell measures 5.620, 9.732 and 15.967 Å, with angles of 90.00, 90.05 and 90.00 degrees. The distinct sites, in fractional coordinates, are Tb at (0.000, 0.000, 0.000), Zr at (0.000, 0.000, 0.500), Zr at (0.000, 0.333, 0.000), Zr at (0.000, 0.333, 0.500), Sc at (0.161, 0.500, 0.834), Sc at (0.165, 0.500, 0.339), Sc at (0.167, 0.167, 0.339) and Sc at (0.170, 0.170, 0.834).

The calculation puts the energy of formation at 0.04 eV/atom.

Cs3H2Br2: optimized geometry, PBE.

The space group is Cmmm (No. 65) and the conventional cell measures 4.126, 25.700 and 4.308 Å, with angles of 90.00, 90.00 and 90.00 degrees. The distinct sites, in fractional coordinates, are Cs at (0.000, 0.000, 0.000), Cs at (0.000, 0.173, 0.000), H at (0.000, 0.255, 0.500) and Br at (0.000, 0.413, 0.500).

For the total energy, the calculation gives -2.617 eV per atom.